The following is a DFT calculation (PBE with a Hubbard U) of BaMnNbO5 after structural relaxation.

ρ: 5.051 g cm⁻³
Total magnetic moment: 4.0 μB per formula unit
Total DFT energy (no corrections): -7.854 eV per atom
SG: C2/c, No. 15

The structure in POSCAR format:
```
BaMnNbO5
1.0
-2.972 5.091 -0.977
-2.558 -3.206 4.346
6.274 2.609 3.578
O Nb Ba Mn
10 2 2 2
direct
0.258 0.361 0.580
0.361 0.258 0.080
0.945 0.055 0.750
0.263 0.872 0.589
0.055 0.945 0.250
0.742 0.639 0.420
0.639 0.742 0.920
0.128 0.737 0.911
0.737 0.128 0.411
0.872 0.263 0.089
0.000 0.000 0.000
0.000 0.000 0.500
0.673 0.327 0.750
0.327 0.673 0.250
0.678 0.322 0.250
0.322 0.678 0.750
```